This record from OQMD describes Gd2Te after structural relaxation. The functional is GGA-PBE.

Structure (extended XYZ):
```
6
Lattice="4.7992 2.7708 7.8370 -4.7992 2.7708 7.8370 0.0000 -5.5416 7.8370" Properties=species:S:1:pos:R:3 pbc="T T T"
Gd 0.0000 0.0000 8.8167
Gd 2.3996 1.3854 12.7352
Gd -2.3996 1.3854 12.7352
Gd 0.0000 -2.7708 12.7352
Te 0.0000 0.0000 5.8778
Te 0.0000 0.0000 11.7556
```

The calculation puts the uncorrected energy at -3.11 eV per atom. As for the space group: Fd-3m (227). For the magnetization, the calculation gives 8.4 μB per cell.